A geometry-optimized Sm3ThSb4 structure. Source: Alexandria, functional PBE.

Cell lengths 6.3409, 6.3409, 6.3409 Å; angles 90.00, 90.00, 90.00 degrees
With the nearest neighbours (Å) after each atom.
Fractional coordinates of all 8 atoms:
Sm  0.0000  0.0000  0.5000  6 Sb 3.17
Sm  0.0000  0.5000  0.0000  6 Sb 3.17
Sm  0.5000  0.0000  0.0000  6 Sb 3.17
Th  0.5000  0.5000  0.5000  6 Sb 3.17
Sb  0.0000  0.0000  0.0000  6 Sm 3.17
Sb  0.0000  0.5000  0.5000  2 Th 3.17, 4 Sm 3.17
Sb  0.5000  0.0000  0.5000  2 Th 3.17, 4 Sm 3.17
Sb  0.5000  0.5000  0.0000  2 Th 3.17, 4 Sm 3.17

- raw formation energy (eV per atom) = -1.12
- relative energy among the computed polymorphs (kJ per mole of atoms) = 1.2
- total magnetization (Bohr magnetons per cell) = 0.000
- Fermi-level density of states (states/eV/f.u.) = 4.788

A geometry-optimized NiPOs structure. Source: Alexandria, functional PBE.

Cell lengths 6.2041, 6.2041, 4.5061 Å; angles 90.27, 90.27, 26.86 degrees
With the nearest neighbours (Å) after each atom.
Fractional coordinates of all 6 atoms:
Ni  0.0000  0.0000  0.0000  2 P 2.17-2.32
Ni  0.6446  0.6446  0.2658  3 P 2.28-2.29, 2 Ni 2.56
P  0.1263  0.1263  0.6585  3 Ni 2.17-2.29, 2 Os 2.38
P  0.8338  0.8338  0.2554  4 Os 2.26-2.44, 2 Ni 2.28-2.32
Os  0.4514  0.4514  0.5078  2 P 2.32, 1 Ni 2.58
Os  0.7778  0.7778  0.7755  4 P 2.26-2.44

- calculated formation energy (eV/f.u.) = -0.4
- total magnetization (Bohr magnetons per cell) = 0.000
- Fermi-level density of states (states/eV/f.u.) = 1.623

A geometry-optimized Sr2NpMnSe5 structure. Source: Alexandria, functional PBE.

Cell lengths 9.3183, 9.3183, 12.9360 Å; angles 90.00, 90.00, 153.75 degrees
With the nearest neighbours (Å) after each atom.
Fractional coordinates of all 18 atoms:
Sr  0.1115  0.8885  0.5000  6 Se 3.14-3.48
Sr  0.1210  0.8790  0.1407  7 Se 3.12-3.46
Sr  0.8790  0.1210  0.6407  7 Se 3.12-3.46
Sr  0.8885  0.1115  0.0000  6 Se 3.14-3.48
Np  0.2045  0.7955  0.8389  6 Se 2.80-2.90
Np  0.7955  0.2045  0.3389  6 Se 2.80-2.90
Mn  0.4412  0.5588  0.2500  4 Se 2.43-2.54
Mn  0.5588  0.4412  0.7500  4 Se 2.43-2.54
Se  0.0488  0.9512  0.8532  2 Mn 2.51
Se  0.2922  0.7078  0.4865  2 Np 2.85
Se  0.3089  0.6911  0.1865  1 Mn 2.54
Se  0.3584  0.6416  0.8229  1 Np 2.80
Se  0.4982  0.5018  0.5829  1 Mn 2.43
Se  0.5018  0.4982  0.0829  1 Mn 2.43
Se  0.6416  0.3584  0.3229  1 Np 2.80
Se  0.6911  0.3089  0.6865  1 Mn 2.54
Se  0.7078  0.2922  0.9865  2 Np 2.85
Se  0.9512  0.0488  0.3532  2 Mn 2.51

- raw formation energy (eV per atom) = -1.37
- total magnetization (Bohr magnetons per cell) = 16.000
- Fermi-level density of states (states/eV/f.u.) = 8.816

A geometry-optimized ScZnSi structure. Source: Alexandria, functional PBE.

Cell lengths 6.6546, 3.9360, 11.5972 Å; angles 90.00, 92.26, 90.00 degrees
With the nearest neighbours (Å) after each atom.
Fractional coordinates of all 18 atoms:
Sc  0.0240  0.2500  0.1208  5 Si 2.78-2.85, 5 Zn 3.01-3.08
Sc  0.1516  0.2500  0.4191  5 Si 2.77-2.85, 5 Zn 3.01-3.07
Sc  0.4711  0.7500  0.7985  5 Si 2.79-2.85, 5 Zn 2.92-3.08
Sc  0.5289  0.2500  0.2015  5 Si 2.79-2.85, 5 Zn 2.92-3.08
Sc  0.8484  0.7500  0.5809  5 Si 2.77-2.85, 5 Zn 3.01-3.07
Sc  0.9760  0.7500  0.8792  5 Si 2.78-2.85, 5 Zn 3.01-3.08
Zn  0.1305  0.2500  0.6991  4 Si 2.53-2.70, 1 Zn 2.82
Zn  0.3361  0.7500  0.0475  4 Si 2.46-2.67
Zn  0.4933  0.7500  0.4038  4 Si 2.43-2.63
Zn  0.5067  0.2500  0.5962  4 Si 2.43-2.63
Zn  0.6639  0.2500  0.9525  4 Si 2.46-2.67
Zn  0.8695  0.7500  0.3009  4 Si 2.53-2.70, 1 Zn 2.82
Si  0.2350  0.7500  0.2496  3 Zn 2.43-2.53
Si  0.2638  0.2500  0.9221  4 Zn 2.48-2.70, 2 Sc 2.78
Si  0.2655  0.7500  0.5844  5 Zn 2.54-2.63, 4 Sc 2.77-2.83
Si  0.7345  0.2500  0.4156  5 Zn 2.54-2.63, 4 Sc 2.77-2.83
Si  0.7362  0.7500  0.0779  4 Zn 2.48-2.70, 2 Sc 2.78
Si  0.7650  0.2500  0.7504  3 Zn 2.43-2.53

- raw formation energy (eV per atom) = -0.52
- total magnetization (Bohr magnetons per cell) = 0.000
- Fermi-level density of states (states/eV/f.u.) = 1.554

A geometry-optimized Cr5Ir structure. Source: Alexandria, functional PBE.

Cell lengths 4.7033, 4.7033, 4.7033 Å; angles 60.00, 60.00, 60.00 degrees
With the nearest neighbours (Å) after each atom.
Fractional coordinates of all 6 atoms:
Cr  0.0000  0.0000  0.0000  12 Cr 2.75, 4 Ir 2.88
Cr  0.3733  0.3733  0.3733  6 Cr 2.32-2.38
Cr  0.3733  0.3733  0.8802  6 Cr 2.32-2.38
Cr  0.3733  0.8802  0.3733  6 Cr 2.32-2.38
Cr  0.8802  0.3733  0.3733  6 Cr 2.32-2.38
Ir  0.7500  0.7500  0.7500  16 Cr 2.76-2.88

- calculated formation energy (eV/f.u.) = 0.3
- relative energy among the computed polymorphs (kJ per mole of atoms) = 4.5
- total magnetization (Bohr magnetons per cell) = 0.786
- Fermi-level density of states (states/eV/f.u.) = 5.567

A geometry-optimized Mg2Ti2P structure. Source: Alexandria, functional PBE.

Cell lengths 6.3334, 6.3334, 4.7932 Å; angles 90.00, 90.00, 90.00 degrees
With the nearest neighbours (Å) after each atom.
Fractional coordinates of all 10 atoms:
Mg  0.1568  0.3432  0.0000  1 Mg 2.81, 6 Ti 2.93-3.11
Mg  0.3432  0.8432  0.0000  1 Mg 2.81, 6 Ti 2.93-3.11
Mg  0.6568  0.1568  0.0000  1 Mg 2.81, 6 Ti 2.93-3.11
Mg  0.8432  0.6568  0.0000  1 Mg 2.81, 6 Ti 2.93-3.11
Ti  0.1560  0.6560  0.5000  2 P 2.39
Ti  0.3440  0.1560  0.5000  2 P 2.39
Ti  0.6560  0.8440  0.5000  2 P 2.39
Ti  0.8440  0.3440  0.5000  2 P 2.39
P  0.0000  0.0000  0.5000  4 Ti 2.39
P  0.5000  0.5000  0.5000  4 Ti 2.39

- calculated formation energy (eV/f.u.) = -1.3
- total magnetization (Bohr magnetons per cell) = 0.789
- Fermi-level density of states (states/eV/f.u.) = 3.885

A geometry-optimized LaBeAg2Pd structure. Source: Alexandria, functional PBE.

Cell lengths 4.6026, 4.6026, 4.6625 Å; angles 90.00, 90.00, 90.00 degrees
With the nearest neighbours (Å) after each atom.
Fractional coordinates of all 5 atoms:
La  0.0000  0.0000  0.0000  4 Pd 3.25, 8 Ag 3.28
Be  0.5000  0.5000  0.5000  4 Ag 2.30, 2 Pd 2.33
Ag  0.0000  0.5000  0.5000  2 Be 2.30
Ag  0.5000  0.0000  0.5000  2 Be 2.30
Pd  0.5000  0.5000  0.0000  2 Be 2.33

- calculated formation energy (eV/f.u.) = -1.1
- relative energy among the computed polymorphs (kJ per mole of atoms) = 0.0
- total magnetization (Bohr magnetons per cell) = 0.000
- Fermi-level density of states (states/eV/f.u.) = 2.608

A geometry-optimized BeCoRh structure. Source: Alexandria, functional PBE.

Cell lengths 4.8005, 4.8005, 4.8005 Å; angles 146.98, 146.98, 47.39 degrees
With the nearest neighbours (Å) after each atom.
Fractional coordinates of all 3 atoms:
Be  0.0000  0.0000  0.0000  4 Co 2.32, 4 Rh 2.39
Co  0.6472  0.6472  0.0000  4 Be 2.32, 4 Rh 2.57
Rh  0.3404  0.3404  0.0000  4 Be 2.39, 4 Co 2.57

- calculated formation energy (eV/f.u.) = -0.8
- relative energy among the computed polymorphs (kJ per mole of atoms) = 0.0
- total magnetization (Bohr magnetons per cell) = 1.910
- Fermi-level density of states (states/eV/f.u.) = 2.539

A geometry-optimized LiAl2In structure. Source: Alexandria, functional PBE.

Cell lengths 2.9531, 5.2808, 4.9144 Å; angles 90.00, 91.20, 90.00 degrees
With the nearest neighbours (Å) after each atom.
Fractional coordinates of all 4 atoms:
Li  0.0000  0.0000  0.0000  4 In 2.84-2.89, 2 Li 2.95, 4 Al 3.00
Al  0.2670  0.5000  0.2463  6 Al 2.81-2.98, 2 In 2.99, 2 Li 3.00
Al  0.7330  0.5000  0.7537  6 Al 2.81-2.98, 2 In 2.99, 2 Li 3.00
In  0.5000  0.0000  0.5000  4 Li 2.84-2.89, 2 In 2.95, 4 Al 2.99

- calculated formation energy (eV/f.u.) = 0.0
- total magnetization (Bohr magnetons per cell) = 0.000
- Fermi-level density of states (states/eV/f.u.) = 1.756

A geometry-optimized UAgBiPd structure. Source: Alexandria, functional PBE.

Cell lengths 5.0183, 5.0183, 5.0183 Å; angles 60.00, 60.00, 60.00 degrees
With the nearest neighbours (Å) after each atom.
Fractional coordinates of all 4 atoms:
U  0.0000  0.0000  0.0000  4 Ag 3.07, 4 Pd 3.07
Ag  0.7500  0.7500  0.7500  4 Bi 3.07, 4 U 3.07
Bi  0.5000  0.5000  0.5000  4 Ag 3.07, 4 Pd 3.07
Pd  0.2500  0.2500  0.2500  4 Bi 3.07, 4 U 3.07

- calculated formation energy (eV/f.u.) = 0.0
- total magnetization (Bohr magnetons per cell) = 2.639
- Fermi-level density of states (states/eV/f.u.) = 9.533

A geometry-optimized CaZnGa4Au2 structure. Source: Alexandria, functional PBE.

Cell lengths 10.1918, 10.1918, 10.1918 Å; angles 25.01, 25.01, 25.01 degrees
With the nearest neighbours (Å) after each atom.
Fractional coordinates of all 8 atoms:
Ca  0.0000  0.0000  0.0000  6 Au 3.16, 6 Ga 3.42
Zn  0.5000  0.5000  0.5000  8 Ga 2.66-2.81
Ga  0.1262  0.1262  0.1262  3 Zn 2.81, 3 Ga 2.94
Ga  0.4102  0.4102  0.4102  3 Au 2.58, 1 Zn 2.66
Ga  0.5898  0.5898  0.5898  3 Au 2.58, 1 Zn 2.66
Ga  0.8738  0.8738  0.8738  3 Zn 2.81, 3 Ga 2.94
Au  0.2703  0.2703  0.2703  3 Ga 2.58
Au  0.7297  0.7297  0.7297  3 Ga 2.58

- calculated formation energy (eV/f.u.) = -2.3
- total magnetization (Bohr magnetons per cell) = 0.000
- Fermi-level density of states (states/eV/f.u.) = 1.974

A geometry-optimized Th4MgSn2 structure. Source: Alexandria, functional PBE.

Cell lengths 10.6465, 10.6465, 10.6465 Å; angles 27.85, 27.85, 27.85 degrees
With the nearest neighbours (Å) after each atom.
Fractional coordinates of all 7 atoms:
Th  0.1186  0.1186  0.1186  3 Sn 3.30, 3 Mg 3.31
Th  0.2966  0.2966  0.2966  4 Sn 3.14-3.31
Th  0.7034  0.7034  0.7034  4 Sn 3.14-3.31
Th  0.8814  0.8814  0.8814  3 Sn 3.30, 3 Mg 3.31
Mg  0.5000  0.5000  0.5000  2 Sn 2.93
Sn  0.4043  0.4043  0.4043  1 Mg 2.93, 3 Th 3.14
Sn  0.5957  0.5957  0.5957  1 Mg 2.93, 3 Th 3.14

- calculated formation energy (eV/f.u.) = 0.2
- total magnetization (Bohr magnetons per cell) = 0.000
- Fermi-level density of states (states/eV/f.u.) = 7.428

Look up the Fermi-level density of states of the first one.
4.788 states/eV/f.u.

What is the Fermi-level density of states in the first record?
4.788 states/eV/f.u.

Which of these has the lowest Fermi-level density of states?
ScZnSi